A plane-wave DFT calculation with PBE was carried out for a relaxed structure of LiCr2Pb.

The formation energy from the elements is 0.37 eV per atom. Its electronic total energy is -23.39 eV/f.u. The mass density is 7690 kg/m³.

The space group is Pmmm (No. 47) and the conventional cell measures 3.4217, 4.2863 and 4.6840 Å, with angles of 90.00, 90.00 and 90.00 degrees. The distinct sites, in fractional coordinates, are Li at (0.0000, 0.0000, 0.0000), Cr at (0.0000, 0.5000, 0.5000), Cr at (0.5000, 0.0000, 0.5000) and Pb at (0.5000, 0.5000, 0.0000).



A plane-wave DFT calculation with PBE was carried out for a relaxed structure of Pm3IrBrCl.

Its electronic total energy is -33.95 eV/f.u. The mass density is 7072 kg/m³. Its formation energy (no corrections) is -1.220 eV per atom.

The space group is P2_1/m (No. 11) and the conventional cell measures 9.2540, 3.8300 and 10.3432 Å, with angles of 90.00, 107.97 and 90.00 degrees. The distinct sites, in fractional coordinates, are Pm at (0.1327, 0.2500, 0.4282), Pm at (0.1553, 0.2500, 0.1003), Pm at (0.2609, 0.7500, 0.8077), Ir at (0.0248, 0.2500, 0.7986), Br at (0.4299, 0.7500, 0.1203) and Cl at (0.3578, 0.7500, 0.5740).



A plane-wave DFT calculation with PBE was carried out for a relaxed structure of GeSN.

The value obtained for the energy relative to the lowest polymorph listed for this composition is 149 meV per atom. Its electronic total energy is -16.43 eV/f.u. The mass density is 3606 kg/m³. Its formation energy (no corrections) is 0.215 eV per atom.

The space group is P1 (No. 1) and the conventional cell measures 3.0354, 3.0395 and 6.9350 Å, with angles of 90.26, 100.34 and 119.13 degrees. The distinct sites, in fractional coordinates, are Ge at (0.0000, 0.0000, 0.0000), S at (0.8212, 0.9054, 0.6676) and N at (0.7169, 0.3614, 0.0947).



A plane-wave DFT calculation with PBE was carried out for a relaxed structure of Sm2ScO.

The value obtained for the energy relative to the lowest polymorph listed for this composition is 257 meV per atom. Its electronic total energy is -24.12 eV/f.u. The mass density is 6858 kg/m³. Its formation energy (no corrections) is -0.848 eV per atom.

The space group is P4/mmm (No. 123) and the conventional cell measures 3.1723, 3.1723 and 8.7017 Å, with angles of 90.00, 90.00 and 90.00 degrees. The distinct sites, in fractional coordinates, are Sm at (0.0000, 0.0000, 0.1779), Sc at (0.5000, 0.5000, 0.5000) and O at (0.5000, 0.5000, 0.0000).



A plane-wave DFT calculation with PBE was carried out for a relaxed structure of ScAgGeO4.

Its electronic total energy is -46.88 eV/f.u. The mass density is 4432 kg/m³. Its formation energy (no corrections) is -1.892 eV per atom.

The space group is P2_1/m (No. 11) and the conventional cell measures 5.6520, 5.9255 and 6.8290 Å, with angles of 90.00, 108.50 and 90.00 degrees. The distinct sites, in fractional coordinates, are Sc at (0.1745, 0.2500, 0.0249), Ag at (0.4794, 0.7500, 0.3898), Ge at (0.2741, 0.7500, 0.8409), O at (0.0552, 0.5306, 0.8324), O at (0.4868, 0.2500, 0.9136) and O at (0.4964, 0.7500, 0.7067).



A plane-wave DFT calculation with PBE was carried out for a relaxed structure of Pr2PaReN6.

Its electronic total energy is -90.74 eV/f.u. The mass density is 9148 kg/m³. Its formation energy (no corrections) is -0.928 eV per atom.

The space group is P2_1/c (No. 14) and the conventional cell measures 5.8372, 5.9060 and 10.0275 Å, with angles of 90.00, 124.68 and 90.00 degrees. The distinct sites, in fractional coordinates, are Pr at (0.2354, 0.0452, 0.2484), Pa at (0.5000, 0.0000, 0.0000), Re at (0.0000, 0.0000, 0.5000), N at (0.1492, 0.2179, 0.9485), N at (0.2171, 0.6971, 0.9495) and N at (0.3247, 0.0228, 0.7305).



A plane-wave DFT calculation with PBE was carried out for a relaxed structure of TbSc2Fe.

The formation energy from the elements is -0.04 eV per atom. The value obtained for the energy relative to the lowest polymorph listed for this composition is 11 meV per atom. Its electronic total energy is -25.91 eV/f.u. The mass density is 5881 kg/m³.

The space group is P4/mmm (No. 123) and the conventional cell measures 3.1847, 3.1847 and 8.4822 Å, with angles of 90.00, 90.00 and 90.00 degrees. The distinct sites, in fractional coordinates, are Tb at (0.0000, 0.0000, 0.0000), Sc at (0.5000, 0.5000, 0.3251) and Fe at (0.0000, 0.0000, 0.5000).



A plane-wave DFT calculation with PBE was carried out for a relaxed structure of Mg6GeAu5.

The formation energy from the elements is -0.52 eV per atom. Its electronic total energy is -36.82 eV/f.u. The mass density is 9130 kg/m³.

The space group is Cmmm (No. 65) and the conventional cell measures 4.7819, 14.3245 and 6.3903 Å, with angles of 90.00, 90.00 and 90.00 degrees. The distinct sites, in fractional coordinates, are Mg at (0.0000, 0.0000, 0.2469), Mg at (0.0000, 0.3304, 0.2493), Ge at (0.0000, 0.5000, 0.5000), Au at (0.0000, 0.1642, 0.5000), Au at (0.0000, 0.1649, 0.0000) and Au at (0.0000, 0.5000, 0.0000).



A plane-wave DFT calculation with PBE was carried out for a relaxed structure of VCo.

The formation energy from the elements is 0.72 eV per atom. Its electronic total energy is -14.79 eV/f.u. The mass density is 5912 kg/m³.

The space group is P6_3/mmc (No. 194) and the conventional cell measures 3.9299, 3.9299 and 4.6148 Å, with angles of 90.00, 90.00 and 120.00 degrees. The distinct sites, in fractional coordinates, are V at (0.3333, 0.6667, 0.2500) and Co at (0.3333, 0.6667, 0.7500).



A plane-wave DFT calculation with PBE was carried out for a relaxed structure of Sc2AlCr2Ru5.

The formation energy from the elements is -0.21 eV per atom. Its electronic total energy is -84.14 eV/f.u. The mass density is 7878 kg/m³.

The space group is P4/mbm (No. 127) and the conventional cell measures 9.9059, 9.9059 and 3.1200 Å, with angles of 90.00, 90.00 and 90.00 degrees. The distinct sites, in fractional coordinates, are Sc at (0.1708, 0.3292, 0.0000), Al at (0.0000, 0.0000, 0.0000), Cr at (0.1341, 0.6341, 0.0000), Ru at (0.0000, 0.5000, 0.5000) and Ru at (0.0648, 0.8003, 0.5000).



A plane-wave DFT calculation with PBE was carried out for a relaxed structure of LaHf2MgTc.

The formation energy from the elements is 1.45 eV per atom. Its electronic total energy is -29.53 eV/f.u. The mass density is 8079 kg/m³.

The space group is P4/mmm (No. 123) and the conventional cell measures 5.1703, 5.1703 and 4.7530 Å, with angles of 90.00, 90.00 and 90.00 degrees. The distinct sites, in fractional coordinates, are La at (0.0000, 0.0000, 0.0000), Hf at (0.0000, 0.5000, 0.0000), Mg at (0.5000, 0.5000, 0.5000) and Tc at (0.0000, 0.0000, 0.5000).



A plane-wave DFT calculation with PBE was carried out for a relaxed structure of Sc2BeSi.

The value obtained for the energy relative to the lowest polymorph listed for this composition is 613 meV per atom. Its electronic total energy is -21.37 eV/f.u. The mass density is 2865 kg/m³. Its formation energy (no corrections) is 0.111 eV per atom.

The space group is I-42d (No. 122) and the conventional cell measures 7.0728, 7.0728 and 5.8866 Å, with angles of 90.00, 90.00 and 90.00 degrees. The distinct sites, in fractional coordinates, are Sc at (0.2366, 0.2500, 0.1250), Be at (0.0000, 0.0000, 0.0000) and Si at (0.0000, 0.0000, 0.5000).